This record from the Alexandria database describes a geometry-optimized Sr3Tl2Au3 structure. The functional is GGA-PBE.

Results
As for the energy of formation: -0.534 eV per atom. Its total magnetization is 0.0 μB per formula unit. The calculation puts the density of states at the Fermi level at 12.57 states/eV/cell. The calculation puts the density at 8.62 g/cm3. The value obtained for the volume is 486 Å³ per cell.

Cell lengths 9.3380, 9.3380, 6.4422 Å; angles 90.00, 90.00, 120.00 degrees
Space group P6_3/mcm (No. 193)
Inequivalent atoms, fractional coordinates:
Sr: 0.0000 0.2938 0.2500 x6
Tl: 0.3333 0.6667 0.0000 x4
Au: 0.0000 0.3690 0.7500 x6